Version A
## PaNbCo2 (PBE-GGA)

Data for an optimized crystal structure of PaNbCo2.

a = 4.008 Å, b = 4.176 Å, c = 5.183 Å
α = 70.07°, β = 67.26°, γ = 61.33°
Atoms (fractional coordinates):
Co  0.269  0.799  0.662
Pa  0.500  0.000  0.000
Nb  0.000  0.500  0.500
Co  0.731  0.201  0.338


Version B
## PaNbCo2 (PBE-GGA)

Data for an optimized crystal structure of PaNbCo2.

a = 3.525 Å, b = 4.290 Å, c = 4.290 Å
α = 90.00°, β = 90.00°, γ = 90.00°
Atoms (fractional coordinates):
Pa  0.500  0.500  0.500
Co  0.000  0.000  0.500
Nb  0.500  0.000  0.000
Co  0.000  0.500  0.000


What should be chosen as the most stable of them? Choose version A.


Version A
## Nb3CoPb (PBE-GGA)

Data for an optimized crystal structure of Nb3CoPb.

a = 4.654 Å, b = 4.654 Å, c = 4.654 Å
α = 90.00°, β = 90.00°, γ = 90.00°
Atoms (fractional coordinates):
Nb  0.000  0.500  0.000
Nb  0.500  0.000  0.000
Pb  0.500  0.500  0.500
Nb  0.000  0.000  0.500
Co  0.000  0.000  0.000


Version B
## Nb3CoPb (PBE-GGA)

Data for an optimized crystal structure of Nb3CoPb.

a = 5.093 Å, b = 5.093 Å, c = 5.093 Å
α = 90.00°, β = 90.00°, γ = 90.00°
Atoms (fractional coordinates):
Co  0.500  0.500  0.500
Nb  0.000  0.000  0.500
Nb  0.000  0.500  0.000
Nb  0.500  0.000  0.000
Pb  0.000  0.000  0.000


What should be chosen as the most stable of them? Choose version A.